i:
BH3I: relaxed, PBEsol.

Symmetry ... No. 221
Spin magnetization ... 0.00 μB/atom

Cell: 3.992 3.992 3.992 Å, 90.00 90.00 90.00°
Atoms (fractional coordinates):
I 0.000 0.000 0.000
H 0.000 0.500 0.000
H 0.000 0.000 0.500
H 0.500 0.000 0.000
B 0.500 0.500 0.500



ii:
BH3I: relaxed, PBEsol.

Symmetry ... No. 221
Spin magnetization ... 0.00 μB/atom

Cell: 3.546 3.546 3.546 Å, 90.00 90.00 90.00°
Atoms (fractional coordinates):
I 0.500 0.500 0.500
H 0.000 0.500 0.000
H 0.000 0.000 0.500
H 0.500 0.000 0.000
B 0.000 0.000 0.000



Sorted by energy, starting with the most stable: ii, i.



i:
KNaB2H8: relaxed, PBEsol.

Symmetry ... No. 148
Spin magnetization ... 0.00 μB/atom

Cell: 4.388 4.388 7.613 Å, 73.25 73.25 60.00°
Atoms (fractional coordinates):
Na 0.000 0.000 0.000
K 0.500 0.500 0.500
B 0.256 0.256 0.232
B 0.744 0.744 0.768
H 0.801 0.801 0.597
H 0.585 0.560 0.825
H 0.415 0.440 0.175
H 0.970 0.415 0.175
H 0.030 0.585 0.825
H 0.199 0.199 0.403
H 0.560 0.030 0.825
H 0.440 0.970 0.175



ii:
KNaB2H8: relaxed, PBEsol.

Symmetry ... No. 166
Spin magnetization ... 0.00 μB/atom

Cell: 4.485 4.485 7.225 Å, 71.92 71.92 60.00°
Atoms (fractional coordinates):
Na 0.000 0.000 0.000
K 0.500 0.500 0.500
B 0.739 0.739 0.782
B 0.261 0.261 0.218
H 0.679 0.679 0.964
H 0.321 0.321 0.036
H 0.909 0.909 0.719
H 0.462 0.909 0.719
H 0.909 0.462 0.719
H 0.538 0.091 0.281
H 0.091 0.538 0.281
H 0.091 0.091 0.281



Sorted by energy, starting with the most stable: ii, i.